1.
DFT (PBE) results for a relaxed TmLu crystal.

Results
Formation enthalpy at 0 K in eV/atom: 0.84
Total DFT energy (no corrections) in eV/atom: -3.66
E above lowest polymorph in meV/atom: 837.9

Cell: 6.4045 6.4045 6.4045 Å, 90.00 90.00 90.00°
Space group Fm-3m (No. 225)
Inequivalent atoms, fractional coordinates:
Tm 0.0000 0.0000 0.0000 x4
Lu 0.0000 0.0000 0.5000 x4

2.
DFT (PBE) results for a relaxed TmLu crystal.

Results
Formation enthalpy at 0 K in eV/atom: 1.99
Total DFT energy (no corrections) in eV/atom: -2.51
E above lowest polymorph in meV/atom: 1988.9

Cell: 7.3485 7.3485 7.3485 Å, 90.00 90.00 90.00°
Space group F-43m (No. 216)
Inequivalent atoms, fractional coordinates:
Tm 0.0000 0.0000 0.0000 x4
Lu 0.2500 0.2500 0.2500 x4